VASP calculation (PBE) on crystalline La2AgOs at its relaxed geometry.

Values from the calculation:
* formation energy: 0.27 eV/atom
* spin magnetization: 0.00 μB/f.u.
* energy: -5.710 eV/atom
* theoretical density: 9.853 g/cm³
* Fermi-level density of states: 0.900 states/eV per atom

Structure (CIF):
```
data_La2AgOs
_symmetry_space_group_name_H-M 'P 4 m m'
_symmetry_Int_Tables_number 99
_cell_length_a 3.789
_cell_length_b 3.789
_cell_length_c 6.762
_cell_angle_alpha 90.00
_cell_angle_beta 90.00
_cell_angle_gamma 90.00
loop_
_symmetry_equiv_pos_as_xyz
'x,y,z'
'-y,x,z'
'-x,-y,z'
'y,-x,z'
'-x,y,z'
'y,x,z'
'x,-y,z'
'-y,-x,z'
loop_
_atom_site_label
_atom_site_type_symbol
_atom_site_fract_x
_atom_site_fract_y
_atom_site_fract_z
La1 La 0.000 0.000 0.000
La2 La 0.500 0.500 0.346
Ag1 Ag 0.500 0.500 0.778
Os1 Os 0.000 0.000 0.565
```